Entry 1:
Compound: RbSrLi2Au
Source: Alexandria via LeMat-Bulk
Functional: GGA-PBE
Structure: optimized geometry

Output
ΔH_f (0 K): -0.1149 eV/atom

The structure in CIF format:
```
data_RbSrLi2Au
_chemical_formula_sum 'Rb1 Sr1 Li2 Au1'
_space_group_name_H-M_alt 'P 4/m m m'
_space_group_IT_number 123
_space_group_name_Hall '-P 4 2'
_cell_length_a 5.559
_cell_length_b 5.559
_cell_length_c 5.951
_cell_angle_alpha 90.00
_cell_angle_beta 90.00
_cell_angle_gamma 90.00
loop_
_atom_site_label
_atom_site_fract_x
_atom_site_fract_y
_atom_site_fract_z
Rb1 0.000 0.000 0.000
Sr1 0.500 0.500 0.000
Li1 0.000 0.500 0.500
Au1 0.500 0.500 0.500
```

---

Entry 2:
Compound: RbLiTe2Au
Source: Alexandria via LeMat-Bulk
Functional: GGA-PBE
Structure: optimized geometry

Output
Uncorrected formation energy: -0.611 eV per atom

The structure in CIF format:
```
data_RbLiTe2Au
_chemical_formula_sum 'Rb4 Li4 Te8 Au4'
_space_group_name_H-M_alt 'C m m e'
_space_group_IT_number 67
_space_group_name_Hall '-C 2a 2'
_cell_length_a 7.834
_cell_length_b 12.698
_cell_length_c 6.972
_cell_angle_alpha 90.00
_cell_angle_beta 90.00
_cell_angle_gamma 90.00
loop_
_atom_site_label
_atom_site_fract_x
_atom_site_fract_y
_atom_site_fract_z
Rb1 0.000 0.250 0.220
Li1 0.250 0.000 0.500
Te1 0.000 0.115 0.690
Au1 0.000 0.000 0.000
```

---

Entry 3:
Compound: RbLi2TiAu
Source: Alexandria via LeMat-Bulk
Functional: GGA-PBE
Structure: optimized geometry

Output
ΔH_f (0 K): 0.2597 eV/atom

The structure in CIF format:
```
data_RbLi2TiAu
_chemical_formula_sum 'Rb1 Li2 Ti1 Au1'
_space_group_name_H-M_alt 'P 4/m m m'
_space_group_IT_number 123
_space_group_name_Hall '-P 4 2'
_cell_length_a 5.288
_cell_length_b 5.288
_cell_length_c 5.121
_cell_angle_alpha 90.00
_cell_angle_beta 90.00
_cell_angle_gamma 90.00
loop_
_atom_site_label
_atom_site_fract_x
_atom_site_fract_y
_atom_site_fract_z
Rb1 0.000 0.000 0.000
Li1 0.000 0.500 0.500
Ti1 0.500 0.500 0.000
Au1 0.500 0.500 0.500
```

---

Entry 4:
Compound: RbLiTl2Au
Source: Alexandria via LeMat-Bulk
Functional: GGA-PBE
Structure: optimized geometry

Output
ΔH_f (0 K): -0.0747 eV/atom

The structure in CIF format:
```
data_RbLiTl2Au
_chemical_formula_sum 'Rb1 Li1 Tl2 Au1'
_space_group_name_H-M_alt 'P 4/m m m'
_space_group_IT_number 123
_space_group_name_Hall '-P 4 2'
_cell_length_a 5.648
_cell_length_b 5.648
_cell_length_c 5.309
_cell_angle_alpha 90.00
_cell_angle_beta 90.00
_cell_angle_gamma 90.00
loop_
_atom_site_label
_atom_site_fract_x
_atom_site_fract_y
_atom_site_fract_z
Rb1 0.000 0.000 0.000
Li1 0.500 0.500 0.000
Tl1 0.000 0.500 0.500
Au1 0.500 0.500 0.500
```

---

Number 1: total magnetic moment 0.00 μB/f.u., raw total energy -10.3 eV per formula unit, Fermi-level density of states 3.51 states/eV/cell. Number 2: total magnetic moment 0.00 μB/f.u., raw total energy -15.5 eV per formula unit, Fermi-level density of states 5.23 states/eV/cell. Number 3: total magnetic moment 1.89 μB/f.u., raw total energy -14.7 eV per formula unit, Fermi-level density of states 5.63 states/eV/cell. Number 4: total magnetic moment 0.00 μB/f.u., raw total energy -11.3 eV per formula unit, Fermi-level density of states 2.21 states/eV/cell.